1.
The following is a DFT calculation (GGA-PBE) of a geometry-optimized AcTaCu structure.

Cell lengths 4.996, 5.009, 11.303 Å; angles 90.00, 90.00, 90.00 degrees
Space group Cmmm (No. 65)
One atom of each set of equivalent atoms:
1 Ac 0.000 0.000 0.184 (multiplicity 4)
2 Ta 0.000 0.500 0.390 (multiplicity 4)
3 Cu 0.000 0.000 0.500 (multiplicity 2)
4 Cu 0.000 0.500 0.000 (multiplicity 2)

Total DFT energy (no corrections): -75.685 eV for the cell shown
Energy relative to the elements: 0.38 eV per atom

=====

2.
The following is a DFT calculation (GGA-PBE) of a geometry-optimized AcTbCu2 structure.

Cell lengths 4.003, 4.523, 5.848 Å; angles 90.00, 109.67, 90.00 degrees
Space group Pm (No. 6)
One atom of each set of equivalent atoms:
1 Ac 0.000 0.000 0.000 (multiplicity 1)
2 Tb 0.281 0.500 0.562 (multiplicity 1)
3 Cu 0.589 0.500 0.178 (multiplicity 1)
4 Cu 0.715 0.000 0.432 (multiplicity 1)

Total DFT energy (no corrections): -17.558 eV for the cell shown
Energy relative to the elements: -0.16 eV per atom
Excess energy over the best structure of this formula in the dataset: 0 meV/atom